{"formula": "TaOs3F", "functional": "PBE-GGA", "state": "optimized geometry", "energy_ev_per_atom": -7.1284, "magmom_total_mub_per_fu": 4.72, "e_form_raw_ev_per_fu": 11.77, "lattice": [[4.8203, 0.0000, 0.0000], [0.0000, 4.8203, 0.0000], [0.0000, 0.0000, 4.8203]], "species": ["Ta", "Os", "Os", "Os", "F"], "frac_coords": [[0.0000, 0.0000, 0.0000], [0.0000, 0.0000, 0.5000], [0.0000, 0.5000, 0.0000], [0.5000, 0.0000, 0.0000], [0.5000, 0.5000, 0.5000]]}